LiNiP4O12 | GGA+U | optimized geometry

Results
The value obtained for the calculated density is 2.65 g/cm3. As for the energy above the most stable polymorph in this dataset: 0.58 eV per formula unit. The volume is 13.29 Å³ per atom. For the magnetization, the calculation gives 12.0 Bohr magnetons per cell.

Cell: 15.6669 7.4475 9.6998 Å, 90.00 122.27 90.00°
Last column: nearest neighbours and their distance in Å.
Space group C2/c (No. 15)
Symmetry-distinct sites (fractional):
Li 0.0000 0.2086 0.2500  4 O 1.94-2.02
Ni 0.0000 0.3702 0.7500  6 O 2.05-2.12
P 0.1354 0.0777 0.6406  4 O 1.50-1.60
P 0.1358 0.3317 0.1583  4 O 1.49-1.62
O 0.0678 0.4123 0.2069  1 P 1.50
O 0.0794 0.0882 0.4587  1 P 1.50
O 0.0976 0.1991 0.7204  1 P 1.50
O 0.1149 0.3601 0.9908  1 P 1.49
O 0.1393 0.1219 0.2041  2 P 1.60-1.62
O 0.2482 0.3901 0.2929  2 P 1.59